This record from Alexandria describes Ca3LaGa after structural relaxation. The functional is GGA-PBE.

Lattice parameters (Å, degrees): 5.886 5.886 5.886 90.00 90.00 90.00
Sites, in units of the cell vectors:
Ca 0.000 0.000 0.500
Ca 0.000 0.500 0.000
Ca 0.500 0.000 0.000
La 0.000 0.000 0.000
Ga 0.500 0.500 0.500

Summary:
- space-group type = Pm-3m, No. 221
- total energy (eV/cell) = -9.25
- Fermi-level density of states (states/eV per cell) = 6.48
- ΔH_f (0 K) (eV/atom) = 0.942